Entry 1:
# DyZn3Au2 PBE optimized geometry
data_DyZn3Au2
_chemical_formula_sum 'Dy4 Zn12 Au8'
_symmetry_space_group_name_H-M 'C 1 2/m 1'
_symmetry_Int_Tables_number 12
_symmetry_space_group_name_Hall '-C 2y'
_cell_length_a 16.7532
_cell_length_b 4.1232
_cell_length_c 6.7240
_cell_angle_alpha 90.00
_cell_angle_beta 108.39
_cell_angle_gamma 90.00
loop_
_atom_site_label
_atom_site_type_symbol
_atom_site_fract_x
_atom_site_fract_y
_atom_site_fract_z
Dy1 Dy 0.1126 0.0000 0.1489
Zn1 Zn 0.0740 0.0000 0.6347
Zn2 Zn 0.1357 0.5000 0.4913
Zn3 Zn 0.1932 0.5000 0.9029
Au1 Au 0.0188 0.5000 0.8016
Au2 Au 0.2403 0.0000 0.6813
# * N(E_F): 0.25 states/eV/atom
# * theoretical density: 11.34 Mg/m³
# * calculated formation energy: -0.456 eV per atom


Entry 2:
# B5C7 PBE optimized geometry
data_B5C7
_chemical_formula_sum 'B5 C7'
_symmetry_space_group_name_H-M 'P m m 2'
_symmetry_Int_Tables_number 25
_symmetry_space_group_name_Hall 'P 2 -2'
_cell_length_a 2.5909
_cell_length_b 2.6092
_cell_length_c 11.8650
_cell_angle_alpha 90.00
_cell_angle_beta 90.00
_cell_angle_gamma 90.00
loop_
_atom_site_label
_atom_site_type_symbol
_atom_site_fract_x
_atom_site_fract_y
_atom_site_fract_z
B1 B 0.0000 0.0000 0.0000
B2 B 0.0000 0.0000 0.3839
B3 B 0.0000 0.5000 0.1150
B4 B 0.5000 0.0000 0.2558
B5 B 0.5000 0.5000 0.5310
C1 C 0.0000 0.0000 0.6918
C2 C 0.0000 0.5000 0.4474
C3 C 0.0000 0.5000 0.7680
C4 C 0.5000 0.0000 0.6197
C5 C 0.5000 0.0000 0.9167
C6 C 0.5000 0.5000 0.1923
C7 C 0.5000 0.5000 0.8435
# * N(E_F): 0.13 states/eV/atom
# * theoretical density: 2.86 Mg/m³
# * calculated formation energy: 0.351 eV per atom


Entry 3:
# YZnTc3 PBE optimized geometry
data_YZnTc3
_chemical_formula_sum 'Y1 Zn1 Tc3'
_symmetry_space_group_name_H-M 'P m -3 m'
_symmetry_Int_Tables_number 221
_symmetry_space_group_name_Hall '-P 4 2 3'
_cell_length_a 4.8271
_cell_length_b 4.8271
_cell_length_c 4.8271
_cell_angle_alpha 90.00
_cell_angle_beta 90.00
_cell_angle_gamma 90.00
loop_
_atom_site_label
_atom_site_type_symbol
_atom_site_fract_x
_atom_site_fract_y
_atom_site_fract_z
Y1 Y 0.0000 0.0000 0.0000
Zn1 Zn 0.5000 0.5000 0.5000
Tc1 Tc 0.0000 0.0000 0.5000
# * N(E_F): 1.33 states/eV/atom
# * theoretical density: 6.62 Mg/m³
# * calculated formation energy: 2.339 eV per atom


Entry 4:
# La13In2 PBE optimized geometry
data_La13In2
_chemical_formula_sum 'La13 In2'
_symmetry_space_group_name_H-M 'P -1'
_symmetry_Int_Tables_number 2
_symmetry_space_group_name_Hall '-P 1'
_cell_length_a 6.3636
_cell_length_b 8.2921
_cell_length_c 10.7311
_cell_angle_alpha 71.91
_cell_angle_beta 74.36
_cell_angle_gamma 83.47
loop_
_atom_site_label
_atom_site_type_symbol
_atom_site_fract_x
_atom_site_fract_y
_atom_site_fract_z
La1 La 0.0000 0.0000 0.0000
La2 La 0.0535 0.4051 0.7262
La3 La 0.1991 0.1816 0.2208
La4 La 0.2650 0.5920 0.9417
La5 La 0.3125 0.0088 0.6508
La6 La 0.4307 0.3916 0.4043
La7 La 0.4712 0.7985 0.1424
In1 In 0.1399 0.7868 0.4653
# * N(E_F): 1.55 states/eV/atom
# * theoretical density: 6.52 Mg/m³
# * calculated formation energy: -0.122 eV per atom


Entry 5:
# ZrInCl2 PBE optimized geometry
data_ZrInCl2
_chemical_formula_sum 'Zr2 In2 Cl4'
_symmetry_space_group_name_H-M 'C m m m'
_symmetry_Int_Tables_number 65
_symmetry_space_group_name_Hall '-C 2 2'
_cell_length_a 6.2908
_cell_length_b 8.9339
_cell_length_c 3.2010
_cell_angle_alpha 90.00
_cell_angle_beta 90.00
_cell_angle_gamma 90.00
loop_
_atom_site_label
_atom_site_type_symbol
_atom_site_fract_x
_atom_site_fract_y
_atom_site_fract_z
Zr1 Zr 0.0000 0.0000 0.0000
In1 In 0.0000 0.5000 0.0000
Cl1 Cl 0.2500 0.2500 0.5000
# * N(E_F): 0.52 states/eV/atom
# * formation energy from raw total energies: -136 kJ/mol of formula units
# * theoretical density: 5.11 Mg/m³


Entry 6:
# CaAsPd6 PBE optimized geometry
data_CaAsPd6
_chemical_formula_sum 'Ca3 As3 Pd18'
_symmetry_space_group_name_H-M 'R -3 m'
_symmetry_Int_Tables_number 166
_symmetry_space_group_name_Hall '-R 3 2"'
_cell_length_a 5.5864
_cell_length_b 5.5864
_cell_length_c 18.2553
_cell_angle_alpha 90.00
_cell_angle_beta 90.00
_cell_angle_gamma 120.00
loop_
_atom_site_label
_atom_site_type_symbol
_atom_site_fract_x
_atom_site_fract_y
_atom_site_fract_z
Ca1 Ca 0.0000 0.0000 0.0000
As1 As 0.0000 0.0000 0.5000
Pd1 Pd 0.0110 0.5055 0.9270
# * N(E_F): 0.48 states/eV/atom
# * theoretical density: 7.61 Mg/m³
# * calculated formation energy: -0.228 eV per atom